Density functional theory data (PBE-GGA) for an optimized crystal structure of Pa2Ge4PdRh3.

The calculation puts the formation energy at -0.70 eV per atom. The calculation puts the calculated total energy at -71.709 eV/cell. The density of states at the Fermi level is 6.7 states/eV/cell.

The structure belongs to space group P-4m2 (No. 115); the cell edges are 4.211, 4.211 and 10.114 Å and the angles 90.00°, 90.00° and 90.00°. The distinct sites, in fractional coordinates, are Pa at (0.000, 0.500, 0.247), Ge at (0.000, 0.000, 0.000), Ge at (0.000, 0.500, 0.636), Ge at (0.500, 0.500, 0.000), Pd at (0.000, 0.000, 0.500), Rh at (0.000, 0.500, 0.873) and Rh at (0.500, 0.500, 0.500).

=====

Density functional theory data (PBE-GGA) for an optimized crystal structure of AgSnTeF2.

The calculation puts the calculated total energy at -19.879 eV/cell. The density of states at the Fermi level is 0.5 states/eV/cell.

The structure belongs to space group P4/mmm (No. 123); the cell edges are 4.357, 4.357 and 6.054 Å and the angles 90.00°, 90.00° and 90.00°. The distinct sites, in fractional coordinates, are Ag at (0.000, 0.000, 0.000), Sn at (0.500, 0.500, 0.500), Te at (0.500, 0.500, 0.000) and F at (0.000, 0.500, 0.500).